Record 1
RbSb2Pd: optimized geometry, PBE-GGA.

Summary:
Formation energy without anion corrections in eV per atom: -0.398

Cell lengths 4.356, 4.356, 8.078 Å; angles 74.36, 74.36, 60.00 degrees
Fractional positions:
Pd  0.668  0.668  0.995
Rb  0.497  0.497  0.509
Sb  0.048  0.048  0.857
Sb  0.287  0.287  0.139

Record 2
RbSbPd: optimized geometry, PBE-GGA.

Summary:
Formation energy without anion corrections in eV per atom: -0.446

Cell lengths 3.450, 7.503, 6.891 Å; angles 90.00, 90.00, 103.30 degrees
Fractional positions:
Sb  0.413  0.325  0.750
Rb  0.323  0.146  0.250
Sb  0.587  0.675  0.250
Pd  0.000  0.500  0.500
Rb  0.677  0.854  0.750
Pd  0.000  0.500  0.000

Record 3
RbSb2Pd: optimized geometry, PBE-GGA.

Summary:
Formation energy without anion corrections in eV per atom: -0.393

Cell lengths 4.286, 7.467, 8.002 Å; angles 90.00, 90.00, 90.00 degrees
Fractional positions:
Rb  0.500  0.890  0.000
Rb  0.000  0.110  0.500
Pd  0.000  0.442  0.000
Sb  0.000  0.646  0.300
Sb  0.500  0.354  0.200
Sb  0.000  0.646  0.700
Sb  0.500  0.354  0.800
Pd  0.500  0.558  0.500

> The lowest formation energy without anion corrections belongs to which entry?

RbSbPd

> Which value of formation energy without anion corrections does entry 1 give?

-0.398 eV per atom

> Among the records above, which one has the highest formation energy without anion corrections?

number 3

What did the third record say?
RbSb2Pd: optimized geometry, PBE-GGA.

Summary:
Formation energy without anion corrections in eV per atom: -0.393

Cell lengths 4.286, 7.467, 8.002 Å; angles 90.00, 90.00, 90.00 degrees
Fractional positions:
Rb  0.500  0.890  0.000
Rb  0.000  0.110  0.500
Pd  0.000  0.442  0.000
Sb  0.000  0.646  0.300
Sb  0.500  0.354  0.200
Sb  0.000  0.646  0.700
Sb  0.500  0.354  0.800
Pd  0.500  0.558  0.500